# 1
Density functional theory data (GGA-PBE) for crystalline Sr2Ca6HgPt at its relaxed geometry.

It has space group Fm-3m (No. 225), with a = 11.750 Å, b = 11.750 Å, c = 11.750 Å, α = 90.00°, β = 90.00° and γ = 90.00°. Symmetry generates all atoms from Sr at (0.250, 0.250, 0.250), Ca at (0.000, 0.000, 0.240), Hg at (0.000, 0.000, 0.500) and Pt at (0.000, 0.000, 0.000).

Its formation energy is -0.320 eV per atom. The value obtained for the raw total energy is -99.647 eV for the cell shown. The value obtained for the density of states at the Fermi level is 27.308 states/eV/cell.


# 2
Density functional theory data (GGA-PBE) for crystalline Sm3As2Se at its relaxed geometry.

It has space group Immm (No. 71), with a = 4.205 Å, b = 5.948 Å, c = 12.596 Å, α = 90.00°, β = 90.00° and γ = 90.00°. Symmetry generates all atoms from Sm at (0.000, 0.000, 0.000), Sm at (0.000, 0.000, 0.328), As at (0.000, 0.500, 0.334) and Se at (0.000, 0.500, 0.000).

The value obtained for the uncorrected formation energy is -1.685 eV per atom. The value obtained for the raw total energy is -74.101 eV for the cell shown. The value obtained for the density of states at the Fermi level is 3.430 states/eV/cell.


# 3
Density functional theory data (GGA-PBE) for crystalline BaLiN2 at its relaxed geometry.

It has space group R-3m (No. 166, hexagonal axes), with a = 3.9977 Å, b = 3.9977 Å, c = 13.9692 Å, α = 90.00°, β = 90.00° and γ = 120.00°. Symmetry generates all atoms from Ba at (0.0000, 0.0000, 0.0000), Li at (0.0000, 0.0000, 0.5000) and N at (0.0000, 0.0000, 0.2191).

Its energy relative to the lowest polymorph listed for this composition is 0.2925 eV per atom. The value obtained for the uncorrected formation energy is 0.581 eV per atom. The value obtained for the raw total energy is -54.485 eV for the cell shown. The value obtained for the density of states at the Fermi level is 0.697 states/eV/cell.


# 4
Density functional theory data (GGA-PBE) for crystalline CdRe2As at its relaxed geometry.

It has space group Pm (No. 6), with a = 2.947 Å, b = 4.421 Å, c = 5.446 Å, α = 90.00°, β = 105.43° and γ = 90.00°. Symmetry generates all atoms from Cd at (0.000, 0.000, 0.000), Re at (0.257, 0.000, 0.514), Re at (0.676, 0.500, 0.340) and As at (0.374, 0.500, 0.741).

Its energy relative to the lowest polymorph listed for this composition is 0.3115 eV per atom. Its formation energy is 0.509 eV per atom. The value obtained for the raw total energy is -28.425 eV for the cell shown. The value obtained for the density of states at the Fermi level is 2.800 states/eV/cell.


# 5
Density functional theory data (GGA-PBE) for crystalline Al2FeW at its relaxed geometry.

It has space group Pm (No. 6), with a = 2.695 Å, b = 4.427 Å, c = 4.827 Å, α = 90.00°, β = 94.33° and γ = 90.00°. Symmetry generates all atoms from Al at (0.000, 0.000, 0.000), Al at (0.047, 0.500, 0.692), Fe at (0.618, 0.500, 0.198) and W at (0.486, 0.000, 0.492).

Its energy relative to the lowest polymorph listed for this composition is 0.1014 eV per atom. Its formation energy is -0.040 eV per atom. The value obtained for the raw total energy is -29.060 eV for the cell shown. The value obtained for the density of states at the Fermi level is 2.564 states/eV/cell.


# 6
Density functional theory data (GGA-PBE) for crystalline CaErNi10 at its relaxed geometry.

It has space group Pmmm (No. 47), with a = 3.950 Å, b = 4.895 Å, c = 8.458 Å, α = 90.00°, β = 90.00° and γ = 90.00°. Symmetry generates all atoms from Ca at (0.000, 0.000, 0.000), Er at (0.000, 0.500, 0.500), Ni at (0.000, 0.000, 0.336), Ni at (0.000, 0.500, 0.170), Ni at (0.500, 0.000, 0.500), Ni at (0.500, 0.253, 0.254) and Ni at (0.500, 0.500, 0.000).

Its formation energy is -0.223 eV per atom. The value obtained for the raw total energy is -67.052 eV for the cell shown. The value obtained for the density of states at the Fermi level is 15.613 states/eV/cell.